Material: La2ZnNi3Ge4
Method: DFT, GGA-PBE
State: optimized geometry

## Properties
- DFT formation energy (eV/atom) = -0.67
- space-group type = P-4m2 (115)
- size of the total moment (μB/atom) = 0.000

a = 4.2430 Å, b = 4.2430 Å, c = 9.9442 Å
α = 90.00°, β = 90.00°, γ = 90.00°
Atoms (fractional coordinates):
Ni  0.0000  0.5000  0.1177
Ni  0.5000  0.0000  0.8823
Ge  0.5000  0.5000  0.0000
Ge  0.5000  0.0000  0.6394
La  0.5000  0.0000  0.2460
Ni  0.0000  0.0000  0.5000
La  0.0000  0.5000  0.7540
Ge  0.0000  0.0000  0.0000
Ge  0.0000  0.5000  0.3606
Zn  0.5000  0.5000  0.5000

=====

Material: MgAs
Method: DFT, GGA-PBE
State: optimized geometry

## Properties
- DFT formation energy (eV/atom) = -0.21
- space-group type = Pm-3m (221)
- energy above the lowest structure with this stoichiometry (meV per atom) = 205
- size of the total moment (μB/atom) = 0.000

a = 3.4013 Å, b = 3.4013 Å, c = 3.4013 Å
α = 90.00°, β = 90.00°, γ = 90.00°
Atoms (fractional coordinates):
Mg  0.5000  0.5000  0.5000
As  0.0000  0.0000  0.0000

=====

Material: Tc2MoHW
Method: DFT, GGA-PBE
State: optimized geometry

## Properties
- space-group type = P4/mmm (123)
- energy above the lowest structure with this stoichiometry (meV per atom) = 23
- size of the total moment (μB/atom) = 0.000

a = 3.9672 Å, b = 3.9672 Å, c = 4.0251 Å
α = 90.00°, β = 90.00°, γ = 90.00°
Atoms (fractional coordinates):
W  0.0000  0.0000  0.5000
Tc  0.0000  0.5000  0.0000
Mo  0.5000  0.5000  0.5000
Tc  0.5000  0.0000  0.0000
H  0.0000  0.0000  0.0000

=====

Material: Pu2BeGe4Pt3
Method: DFT, GGA-PBE
State: optimized geometry

## Properties
- DFT formation energy (eV/atom) = -0.58
- space-group type = P-4m2 (115)
- size of the total moment (μB/atom) = 1.042

a = 4.1929 Å, b = 4.1929 Å, c = 10.5449 Å
α = 90.00°, β = 90.00°, γ = 90.00°
Last column: magnetic moment on the atom in μB.
Atoms (fractional coordinates):
Pu  0.0000  0.5000  0.7392  5.18
Pt  0.0000  0.5000  0.1353  -0.04
Pt  0.0000  0.0000  0.5000  -0.05
Be  0.5000  0.5000  0.5000  -0.03
Ge  0.0000  0.0000  0.0000  -0.01
Pt  0.5000  0.0000  0.8647  -0.04
Ge  0.0000  0.5000  0.3696  -0.04
Ge  0.5000  0.5000  0.0000  -0.02
Pu  0.5000  0.0000  0.2608  5.18
Ge  0.5000  0.0000  0.6304  -0.04

=====

Material: AcZnCdSb
Method: DFT, GGA-PBE
State: optimized geometry

## Properties
- formation energy from raw total energies (eV/atom) = -0.280
- space-group type = F-43m (216)
- size of the total moment (μB/atom) = 0.000

a = 5.4318 Å, b = 5.4318 Å, c = 5.4318 Å
α = 60.00°, β = 60.00°, γ = 60.00°
Atoms (fractional coordinates):
Ac  0.2500  0.2500  0.2500
Cd  0.7500  0.7500  0.7500
Sb  0.5000  0.5000  0.5000
Zn  0.0000  0.0000  0.0000

=====

Material: CsSrP
Method: DFT, GGA-PBE
State: optimized geometry

## Properties
- DFT formation energy (eV/atom) = -0.51
- space-group type = P1 (1)
- size of the total moment (μB/atom) = 0.000

a = 4.3033 Å, b = 8.1618 Å, c = 8.6692 Å
α = 121.97°, β = 90.00°, γ = 90.00°
Atoms (fractional coordinates):
P  0.8923  0.4997  0.1729
Sr  0.3924  0.5525  0.9498
Cs  0.3915  0.0522  0.9536
Sr  0.3924  0.5518  0.4494
Cs  0.8928  0.0521  0.4557
P  0.8924  0.6046  0.7251

=====

Material: Cs2TlSnF6
Method: DFT, GGA-PBE
State: optimized geometry

## Properties
- formation energy from raw total energies (eV/atom) = -2.452
- space-group type = R-3m (166)
- size of the total moment (μB/atom) = 0.000

a = 7.0433 Å, b = 7.0433 Å, c = 12.1094 Å
α = 73.09°, β = 73.09°, γ = 60.00°
Atoms (fractional coordinates):
Tl  0.4029  0.4029  0.7913
F  0.8324  0.2319  0.1034
Cs  0.1390  0.1390  0.5830
F  0.6186  0.1386  0.6243
F  0.1676  0.7681  0.8966
F  0.3814  0.8614  0.3757
Cs  0.7318  0.7318  0.8047
F  0.6186  0.6186  0.6243
F  0.1386  0.6186  0.6243
F  0.8324  0.8324  0.1034
F  0.2319  0.8324  0.1034
F  0.8614  0.3814  0.3757
Sn  0.5000  0.5000  0.5000
F  0.3814  0.3814  0.3757
F  0.1676  0.1676  0.8966
Cs  0.2682  0.2682  0.1953
Tl  0.5971  0.5971  0.2087
Sn  0.0000  0.0000  0.0000
F  0.7681  0.1676  0.8966
Cs  0.8610  0.8610  0.4170

=====

Material: Tb4Dy3Rh4
Method: DFT, GGA-PBE
State: optimized geometry

## Properties
- DFT formation energy (eV/atom) = -0.62
- space-group type = Immm (71)
- size of the total moment (μB/atom) = 0.000

a = 3.6950 Å, b = 8.9338 Å, c = 9.3363 Å
α = 118.58°, β = 101.41°, γ = 90.00°
Atoms (fractional coordinates):
Tb  0.3354  0.5221  0.6707
Rh  0.5000  0.7859  0.0000
Rh  0.7471  0.2471  0.4942
Rh  0.2529  0.7529  0.5058
Tb  0.6646  0.8514  0.3293
Dy  0.1019  0.1019  0.2037
Rh  0.5000  0.2141  0.0000
Tb  0.6646  0.4779  0.3293
Tb  0.3354  0.1486  0.6707
Dy  0.8981  0.8981  0.7963
Dy  0.0000  0.5000  0.0000

=====

Material: SrSi
Method: DFT, GGA-PBE
State: optimized geometry

## Properties
- formation energy from raw total energies (eV/atom) = -0.130
- space-group type = P4/mmm (123)
- size of the total moment (μB/atom) = 0.000

a = 3.5100 Å, b = 3.5100 Å, c = 4.3409 Å
α = 90.00°, β = 90.00°, γ = 90.00°
Atoms (fractional coordinates):
Sr  0.5000  0.5000  0.0000
Si  0.0000  0.0000  0.5000

=====

Material: MgTiSiGe2
Method: DFT, GGA-PBE
State: optimized geometry

## Properties
- formation energy from raw total energies (eV/atom) = 1.022
- space-group type = P4/mmm (123)
- size of the total moment (μB/atom) = 0.001

a = 4.8390 Å, b = 4.8026 Å, c = 4.8390 Å
α = 90.00°, β = 90.00°, γ = 90.00°
Atoms (fractional coordinates):
Si  0.0000  0.5000  0.0000
Ge  0.5000  0.0000  0.0000
Ge  0.0000  0.0000  0.5000
Mg  0.0000  0.0000  0.0000
Ti  0.5000  0.5000  0.5000

=====

Material: LaCd2Ni
Method: DFT, GGA-PBE
State: optimized geometry

## Properties
- DFT formation energy (eV/atom) = -0.15
- space-group type = P4mm (99)
- size of the total moment (μB/atom) = 0.000

a = 3.3829 Å, b = 3.3829 Å, c = 7.7972 Å
α = 90.00°, β = 90.00°, γ = 90.00°
Atoms (fractional coordinates):
Ni  0.5000  0.5000  0.7738
La  0.0000  0.0000  0.5480
Cd  0.0000  0.0000  0.9634
Cd  0.5000  0.5000  0.2148

=====

Material: Pa2MnH
Method: DFT, GGA-PBE
State: optimized geometry

## Properties
- space-group type = R-3m (166)
- energy above the lowest structure with this stoichiometry (meV per atom) = 0
- size of the total moment (μB/atom) = 0.000

a = 3.9750 Å, b = 3.9750 Å, c = 5.3046 Å
α = 68.00°, β = 68.00°, γ = 60.00°
Atoms (fractional coordinates):
Pa  0.2410  0.2410  0.2770
Mn  0.0000  0.0000  0.0000
H  0.5000  0.5000  0.5000
Pa  0.7590  0.7590  0.7230

=====

> The highest size of the total moment belongs to which entry?

Pu2BeGe4Pt3

=====

> size of the total moment of number 6 (CsSrP)?

0.000 μB/atom

=====

Copy entry 6 word for word.
Material: CsSrP
Method: DFT, GGA-PBE
State: optimized geometry

## Properties
- DFT formation energy (eV/atom) = -0.51
- space-group type = P1 (1)
- size of the total moment (μB/atom) = 0.000

a = 4.3033 Å, b = 8.1618 Å, c = 8.6692 Å
α = 121.97°, β = 90.00°, γ = 90.00°
Atoms (fractional coordinates):
P  0.8923  0.4997  0.1729
Sr  0.3924  0.5525  0.9498
Cs  0.3915  0.0522  0.9536
Sr  0.3924  0.5518  0.4494
Cs  0.8928  0.0521  0.4557
P  0.8924  0.6046  0.7251

=====

> Look up the size of the total moment of the sixth one.

0.000 μB/atom